1.
SmInRh2 | the Alexandria database | PBE | relaxed; E_form = -64.9 kJ/mol of atoms; size of the total moment = 0.00 μB/f.u.
1.0
4.573 0.000 0.000
0.000 4.573 0.000
0.000 0.000 3.607
Sm In Rh
1 1 2
Cartesian
0.000 0.000 0.000 Sm
2.287 2.287 0.000 In
0.000 2.287 1.803 Rh
2.287 0.000 1.803 Rh

---

2.
In3Bi2Pb2 | the Alexandria database | PBE | relaxed; E_form = 5.1 kJ/mol of atoms; energy above the most stable polymorph in this dataset = 8 meV per atom; size of the total moment = 0.00 μB/f.u.
1.0
5.423 0.000 0.000
0.000 3.364 0.000
-2.593 0.000 11.808
In Bi Pb
3 2 2
Cartesian
0.000 0.000 0.000 In
0.072 0.000 6.747 In
2.758 0.000 5.060 In
0.044 0.000 3.250 Bi
2.787 0.000 8.557 Bi
0.097 1.682 10.069 Pb
2.733 1.682 1.739 Pb

---

3.
NaPr2NpTe4 | the Alexandria database | PBE | relaxed; size of the total moment = 4.68 μB/f.u.; energy relative to the elements, uncorrected = -112 kJ/mol of atoms
1.0
7.805 0.000 0.000
0.000 4.486 0.000
-2.590 0.000 7.381
Na Pr Np Te
1 2 1 4
Cartesian
0.000 0.000 0.000 Na
2.607 0.000 3.691 Pr
3.902 2.243 0.000 Pr
-1.295 2.243 3.691 Np
-0.050 0.000 5.508 Te
1.264 2.243 1.841 Te
3.950 2.243 5.540 Te
5.264 0.000 1.873 Te

---

4.
Ac5Pr4Ho | the Alexandria database | PBE | relaxed; E_form = 9.4 kJ/mol of atoms; size of the total moment = 0.00 μB/f.u.
1.0
4.464 0.000 0.000
0.000 4.464 0.000
0.000 0.000 19.954
Ac Pr Ho
5 4 1
Cartesian
0.000 0.000 0.000 Ac
0.000 0.000 3.989 Ac
0.000 0.000 8.039 Ac
0.000 0.000 11.915 Ac
0.000 0.000 15.965 Ac
2.232 2.232 2.000 Pr
2.232 2.232 5.980 Pr
2.232 2.232 13.973 Pr
2.232 2.232 17.954 Pr
2.232 2.232 9.977 Ho

---

5.
MgTiCu2S4 | the Alexandria database | PBE | relaxed; size of the total moment = 0.00 μB/f.u.; energy relative to the elements, uncorrected = -87 kJ/mol of atoms
1.0
5.496 0.000 0.000
0.000 5.496 0.000
0.000 0.000 10.557
Mg Ti Cu S
2 2 4 8
Cartesian
0.000 0.000 0.000 Mg
2.748 2.748 5.278 Mg
0.000 0.000 5.278 Ti
2.748 2.748 0.000 Ti
0.000 2.748 2.639 Cu
0.000 2.748 7.918 Cu
2.748 0.000 2.639 Cu
2.748 0.000 7.918 Cu
1.303 1.303 6.658 S
1.303 4.193 3.899 S
1.445 1.445 1.379 S
1.445 4.051 9.178 S
4.051 1.445 9.178 S
4.051 4.051 1.379 S
4.193 1.303 3.899 S
4.193 4.193 6.658 S

---

6.
AlNiHRh2 | the Alexandria database | PBE | relaxed; energy above the most stable polymorph in this dataset = 0 meV per atom; size of the total moment = 0.00 μB/f.u.
1.0
3.970 0.000 0.000
0.000 3.970 0.000
0.000 0.000 3.502
Al Ni H Rh
1 1 1 2
Cartesian
0.000 0.000 0.000 Al
1.985 1.985 0.000 Ni
1.985 1.985 1.751 H
0.000 1.985 1.751 Rh
1.985 0.000 1.751 Rh